Compound: La5YbS8
Source: the Alexandria database
Functional: PBE
Structure: optimized geometry

Cell: 8.6993 8.6993 8.7216 Å, 90.00 90.00 90.00°
Space group I-4 (No. 82)
Unique sites:
La1 0.0000 0.0000 0.0000 [2 per cell]
La2 0.1278 0.2515 0.6207 [8 per cell]
Yb1 0.0000 0.5000 0.2500 [2 per cell]
S1 0.0701 0.1800 0.2977 [8 per cell]
S2 0.0766 0.3245 0.9463 [8 per cell]

Output
Raw formation energy = -2174 meV per atom
DOS(E_F) = 0.4683 states/eV/atom
Magnetization = 0.00 μB per formula unit

Compound: Ba2PmGe2
Source: the Alexandria database
Functional: PBE
Structure: optimized geometry

Cell: 13.8926 4.9001 11.9634 Å, 90.00 119.06 90.00°
Space group C2/m (No. 12)
Unique sites:
Ba1 0.0161 0.0000 0.1749 [4 per cell]
Ba2 0.1683 0.0000 0.5856 [4 per cell]
Pm1 0.2104 0.5000 0.8626 [4 per cell]
Ge1 0.0069 0.5000 0.3924 [4 per cell]
Ge2 0.1535 0.5000 0.0741 [4 per cell]

Output
Electronic total energy = -82.00 eV for the cell shown
DOS(E_F) = 0.4558 states/eV/atom
Magnetization = 0.00 μB per formula unit

Compound: Ga4I2Br5
Source: the Alexandria database
Functional: PBE
Structure: optimized geometry

Cell: 7.4848 7.5335 8.4709 Å, 100.51 103.89 97.10°
Space group P1 (No. 1)
Unique sites:
Ga1 0.0000 0.0000 0.0000 [1 per cell]
Ga2 0.0782 0.9768 0.7340 [1 per cell]
Ga3 0.5765 0.1416 0.1353 [1 per cell]
Ga4 0.7968 0.4496 0.6653 [1 per cell]
I1 0.4104 0.2067 0.8115 [1 per cell]
I2 0.7060 0.7811 0.0174 [1 per cell]
Br1 0.1196 0.6834 0.5978 [1 per cell]
Br2 0.2672 0.9368 0.1978 [1 per cell]
Br3 0.5689 0.4292 0.3455 [1 per cell]
Br4 0.8868 0.0986 0.5201 [1 per cell]
Br5 0.9425 0.3003 0.1110 [1 per cell]

Output
Raw formation energy = -572 meV per atom
DOS(E_F) = 0.3160 states/eV/atom
Magnetization = 0.92 μB per formula unit

Compound: KNa2LiAs
Source: the Alexandria database
Functional: PBE
Structure: optimized geometry

Cell: 5.8015 5.8015 5.0318 Å, 90.00 90.00 90.00°
Space group P4/mmm (No. 123)
Unique sites:
K1 0.0000 0.0000 0.0000 [1 per cell]
Na1 0.0000 0.5000 0.5000 [2 per cell]
Li1 0.5000 0.5000 0.0000 [1 per cell]
As1 0.5000 0.5000 0.5000 [1 per cell]

Output
Electronic total energy = -11.63 eV for the cell shown
DOS(E_F) = 0.4480 states/eV/atom
Magnetization = 0.00 μB per formula unit

Compound: MgCdAu2
Source: the Alexandria database
Functional: PBE
Structure: optimized geometry

Cell: 7.6040 7.6040 5.6948 Å, 90.00 90.00 90.00°
Space group I-42d (No. 122)
Unique sites:
Mg1 0.0000 0.0000 0.0000 [4 per cell]
Cd1 0.0000 0.0000 0.5000 [4 per cell]
Au1 0.2383 0.2500 0.1250 [8 per cell]

Output
Electronic total energy = -39.06 eV for the cell shown
DOS(E_F) = 0.3029 states/eV/atom
Magnetization = 0.00 μB per formula unit

Compound: TiRuPb3
Source: the Alexandria database
Functional: PBE
Structure: optimized geometry

Cell: 5.3281 5.3281 5.3281 Å, 90.00 90.00 90.00°
Space group Pm-3m (No. 221)
Unique sites:
Ti1 0.0000 0.0000 0.0000 [1 per cell]
Ru1 0.5000 0.5000 0.5000 [1 per cell]
Pb1 0.0000 0.0000 0.5000 [3 per cell]

Output
E above lowest polymorph = 267 meV/atom
DOS(E_F) = 0.8559 states/eV/atom
Magnetization = 2.86 μB per formula unit

Compound: K4Ac3PaO8
Source: the Alexandria database
Functional: PBE
Structure: optimized geometry

Cell: 7.7232 7.7232 20.0408 Å, 90.00 90.00 120.00°
Space group R-3m (No. 166, hexagonal axes)
Unique sites:
K1 0.0000 0.0000 0.0000 [3 per cell]
K2 0.0000 0.5000 0.0000 [9 per cell]
Ac1 0.0000 0.5000 0.5000 [9 per cell]
Pa1 0.0000 0.0000 0.5000 [3 per cell]
O1 0.0000 0.0000 0.2235 [6 per cell]
O2 0.0427 0.5213 0.2216 [18 per cell]

Output
Raw formation energy = -2525 meV per atom
DOS(E_F) = 0.1750 states/eV/atom
Magnetization = 0.18 μB per formula unit

Compound: MnBeCr2Rh
Source: the Alexandria database
Functional: PBE
Structure: optimized geometry

Cell: 3.9231 3.9231 3.8393 Å, 90.00 90.00 90.00°
Space group P4/mmm (No. 123)
Unique sites:
Mn1 0.0000 0.0000 0.0000 [1 per cell]
Be1 0.0000 0.0000 0.5000 [1 per cell]
Cr1 0.0000 0.5000 0.5000 [2 per cell]
Rh1 0.5000 0.5000 0.0000 [1 per cell]

Output
Electronic total energy = -36.10 eV for the cell shown
DOS(E_F) = 1.2177 states/eV/atom
Magnetization = 0.00 μB per formula unit

Compound: TmLu2Zr
Source: the Alexandria database
Functional: PBE
Structure: optimized geometry

Cell: 4.7822 4.7822 4.7858 Å, 90.00 90.00 90.00°
Space group P4/mmm (No. 123)
Unique sites:
Tm1 0.0000 0.0000 0.0000 [1 per cell]
Lu1 0.0000 0.5000 0.5000 [2 per cell]
Zr1 0.5000 0.5000 0.0000 [1 per cell]

Output
E above lowest polymorph = 7 meV/atom
DOS(E_F) = 1.6456 states/eV/atom
Magnetization = 0.00 μB per formula unit

Compound: TlFeAs
Source: the Alexandria database
Functional: PBE
Structure: optimized geometry

Cell: 12.1086 5.9383 3.2939 Å, 90.00 90.06 90.00°
Space group Cm (No. 8)
Unique sites:
Tl1 0.0000 0.0000 0.0000 [2 per cell]
Tl2 0.0204 0.5000 0.5031 [2 per cell]
Fe1 0.3272 0.2586 0.4978 [4 per cell]
As1 0.2367 0.5000 0.9972 [2 per cell]
As2 0.2518 0.0000 0.9974 [2 per cell]

Output
E above lowest polymorph = 251 meV/atom
DOS(E_F) = 0.9445 states/eV/atom
Magnetization = 1.67 μB per formula unit

Compound: LiNi2Ru
Source: the Alexandria database
Functional: PBE
Structure: optimized geometry

Cell: 3.4433 3.4433 16.6898 Å, 90.00 90.00 90.00°
Space group I-42d (No. 122)
Unique sites:
Li1 0.0000 0.0000 0.0000 [4 per cell]
Ni1 0.2446 0.2500 0.1250 [8 per cell]
Ru1 0.0000 0.0000 0.5000 [4 per cell]

Output
E above lowest polymorph = 475 meV/atom
DOS(E_F) = 1.5930 states/eV/atom
Magnetization = 0.00 μB per formula unit

Compound: CaLaAl
Source: the Alexandria database
Functional: PBE
Structure: optimized geometry

Cell: 7.4333 7.4333 7.4333 Å, 90.00 90.00 90.00°
Space group F-43m (No. 216)
Unique sites:
Ca1 0.0000 0.0000 0.0000 [4 per cell]
La1 0.2500 0.2500 0.2500 [4 per cell]
Al1 0.0000 0.0000 0.5000 [4 per cell]

Output
E above lowest polymorph = 673 meV/atom
DOS(E_F) = 0.4767 states/eV/atom
Magnetization = 0.00 μB per formula unit

Compound: BePbSe2
Source: the Alexandria database
Functional: PBE
Structure: optimized geometry

Cell: 3.4258 4.4650 5.6839 Å, 90.00 90.00 90.00°
Space group Pmmm (No. 47)
Unique sites:
Be1 0.0000 0.0000 0.0000 [1 per cell]
Pb1 0.5000 0.5000 0.0000 [1 per cell]
Se1 0.0000 0.5000 0.5000 [1 per cell]
Se2 0.5000 0.0000 0.5000 [1 per cell]

Output
Raw formation energy = 505 meV per atom
E above lowest polymorph = 1030 meV/atom
DOS(E_F) = 0.3756 states/eV/atom
Magnetization = 0.00 μB per formula unit

Compound: MgAl2Ru
Source: the Alexandria database
Functional: PBE
Structure: optimized geometry

Cell: 3.2452 4.6903 8.6402 Å, 90.00 90.00 90.00°
Space group Cmm2 (No. 35)
Unique sites:
Mg1 0.0000 0.0000 0.0000 [2 per cell]
Al1 0.0000 0.0000 0.4543 [2 per cell]
Al2 0.0000 0.5000 0.7149 [2 per cell]
Ru1 0.0000 0.5000 0.2425 [2 per cell]

Output
Electronic total energy = -36.88 eV for the cell shown
DOS(E_F) = 0.6301 states/eV/atom
Magnetization = 0.00 μB per formula unit

Compound: CaErTm2
Source: the Alexandria database
Functional: PBE
Structure: optimized geometry

Cell: 5.0445 5.0445 5.0508 Å, 90.00 90.00 90.00°
Space group P4/mmm (No. 123)
Unique sites:
Ca1 0.0000 0.0000 0.0000 [1 per cell]
Er1 0.5000 0.5000 0.0000 [1 per cell]
Tm1 0.0000 0.5000 0.5000 [2 per cell]

Output
E above lowest polymorph = 83 meV/atom
DOS(E_F) = 1.8185 states/eV/atom
Magnetization = 0.00 μB per formula unit

Compound: LiTh2Ge4Pt3
Source: the Alexandria database
Functional: PBE
Structure: optimized geometry

Cell: 4.2728 4.2728 10.5298 Å, 90.00 90.00 90.00°
Space group P-4m2 (No. 115)
Unique sites:
Li1 0.0000 0.0000 0.0000 [1 per cell]
Th1 0.0000 0.5000 0.7544 [2 per cell]
Ge1 0.0000 0.0000 0.5000 [1 per cell]
Ge2 0.0000 0.5000 0.1311 [2 per cell]
Ge3 0.5000 0.5000 0.5000 [1 per cell]
Pt1 0.0000 0.5000 0.3679 [2 per cell]
Pt2 0.5000 0.5000 0.0000 [1 per cell]

Output
Electronic total energy = -62.14 eV for the cell shown
DOS(E_F) = 0.3797 states/eV/atom
Magnetization = 0.00 μB per formula unit

Compound: Ba2CoPb
Source: the Alexandria database
Functional: PBE
Structure: optimized geometry

Cell: 5.9484 5.9484 4.0945 Å, 90.00 90.00 90.00°
Space group P4/mmm (No. 123)
Unique sites:
Ba1 0.0000 0.5000 0.0000 [2 per cell]
Co1 0.0000 0.0000 0.5000 [1 per cell]
Pb1 0.5000 0.5000 0.5000 [1 per cell]

Output
Electronic total energy = -13.98 eV for the cell shown
DOS(E_F) = 1.0582 states/eV/atom
Magnetization = 1.66 μB per formula unit

Compound: BeAgCl2
Source: the Alexandria database
Functional: PBE
Structure: optimized geometry

Cell: 3.4224 2.9825 10.7843 Å, 90.00 95.33 90.00°
Space group P2/m (No. 10)
Unique sites:
Be1 0.0000 0.0000 0.0000 [1 per cell]
Ag1 0.5000 0.0000 0.5000 [1 per cell]
Cl1 0.1161 0.5000 0.8725 [2 per cell]

Output
Raw formation energy = -474 meV per atom
E above lowest polymorph = 168 meV/atom
DOS(E_F) = 0.0958 states/eV/atom
Magnetization = 0.00 μB per formula unit

Compound: Nd3ThH8
Source: the Alexandria database
Functional: PBE
Structure: optimized geometry

Cell: 5.4692 5.4692 5.4692 Å, 90.00 90.00 90.00°
Space group Pm-3m (No. 221)
Unique sites:
Nd1 0.0000 0.0000 0.5000 [3 per cell]
Th1 0.5000 0.5000 0.5000 [1 per cell]
H1 0.2524 0.2524 0.2524 [8 per cell]

Output
Electronic total energy = -55.94 eV for the cell shown
DOS(E_F) = 0.3456 states/eV/atom
Magnetization = 0.00 μB per formula unit

Compound: Pm2Pr5Sm4
Source: the Alexandria database
Functional: PBE
Structure: optimized geometry

Cell: 3.5778 9.4179 23.7275 Å, 90.00 90.00 90.00°
Space group Immm (No. 71)
Unique sites:
Pm1 0.0000 0.0000 0.2305 [4 per cell]
Pr1 0.0000 0.2000 0.3530 [8 per cell]
Pr2 0.0000 0.5000 0.0000 [2 per cell]
Sm1 0.0000 0.0000 0.0961 [4 per cell]
Sm2 0.0000 0.3053 0.5000 [4 per cell]

Output
E above lowest polymorph = 66 meV/atom
DOS(E_F) = 1.5125 states/eV/atom
Magnetization = 0.00 μB per formula unit

Compound: NbV2Co2
Source: the Alexandria database
Functional: PBE
Structure: optimized geometry

Cell: 3.7484 3.7484 19.7273 Å, 90.00 90.00 90.00°
Space group I4/mmm (No. 139)
Unique sites:
Nb1 0.0000 0.0000 0.1283 [4 per cell]
V1 0.0000 0.0000 0.3189 [4 per cell]
V2 0.0000 0.5000 0.0000 [4 per cell]
Co1 0.0000 0.0000 0.4256 [4 per cell]
Co2 0.0000 0.5000 0.2500 [4 per cell]

Output
E above lowest polymorph = 139 meV/atom
DOS(E_F) = 1.1545 states/eV/atom
Magnetization = 0.00 μB per formula unit

Compound: Pm3TmHg7
Source: the Alexandria database
Functional: PBE
Structure: optimized geometry

Cell: 3.5483 21.5975 15.5066 Å, 90.00 90.00 90.00°
Space group Cmcm (No. 63)
Unique sites:
Pm1 0.0000 0.1155 0.0202 [8 per cell]
Pm2 0.0000 0.2407 0.7500 [4 per cell]
Tm1 0.0000 0.0172 0.7500 [4 per cell]
Hg1 0.0000 0.2545 0.0783 [8 per cell]
Hg2 0.0000 0.3768 0.1567 [8 per cell]
Hg3 0.0000 0.3901 0.7500 [4 per cell]
Hg4 0.0000 0.4961 0.5922 [8 per cell]

Output
Electronic total energy = -97.45 eV for the cell shown
DOS(E_F) = 0.6985 states/eV/atom
Magnetization = 0.00 μB per formula unit

Compound: Y4Th3Se8
Source: the Alexandria database
Functional: PBE
Structure: optimized geometry

Cell: 11.6800 11.6850 8.2632 Å, 90.00 134.96 90.00°
Space group C2/m (No. 12)
Unique sites:
Y1 0.0000 0.0000 0.0000 [2 per cell]
Y2 0.0000 0.5000 0.5000 [2 per cell]
Y3 0.2500 0.2500 0.0000 [4 per cell]
Th1 0.0000 0.5000 0.0000 [2 per cell]
Th2 0.2500 0.2500 0.5000 [4 per cell]
Se1 0.0000 0.2455 0.0000 [4 per cell]
Se2 0.0000 0.2476 0.5000 [4 per cell]
Se3 0.2425 0.0000 0.4918 [4 per cell]
Se4 0.2455 0.0000 0.9971 [4 per cell]

Output
Raw formation energy = -1724 meV per atom
DOS(E_F) = 0.6607 states/eV/atom
Magnetization = 0.00 μB per formula unit

Compound: PrHo7Th3
Source: the Alexandria database
Functional: PBE
Structure: optimized geometry

Cell: 7.0632 7.0632 8.5688 Å, 90.00 90.00 120.00°
Space group P3m1 (No. 156)
Unique sites:
Pr1 0.0000 0.0000 0.0000 [1 per cell]
Ho1 0.1661 0.3322 0.3424 [3 per cell]
Ho2 0.5015 0.0030 0.0037 [3 per cell]
Ho3 0.6667 0.3333 0.3424 [1 per cell]
Th1 0.3359 0.1680 0.6703 [3 per cell]

Output
Electronic total energy = -56.69 eV for the cell shown
DOS(E_F) = 1.3564 states/eV/atom
Magnetization = 0.00 μB per formula unit